Crystalline Ac8NdDy2 at its relaxed geometry. Source: Alexandria via LeMat-Bulk, functional PBE.

Geometry as CIF:
```
data_Ac8NdDy2
_cell_length_a 13.458
_cell_length_b 12.298
_cell_length_c 6.225
_cell_angle_alpha 90.00
_cell_angle_beta 102.89
_cell_angle_gamma 90.00
_space_group_name_H-M_alt 'C 1 2/m 1'
_space_group_IT_number 12
loop_
_space_group_symop_operation_xyz
'x,y,z'
'-x,-y,-z'
'-x,y,-z'
'x,-y,z'
'x+1/2,y+1/2,z'
'-x+1/2,-y+1/2,-z'
'-x+1/2,y+1/2,-z'
'x+1/2,-y+1/2,z'
loop_
_atom_site_label
_atom_site_type_symbol
_atom_site_fract_x
_atom_site_fract_y
_atom_site_fract_z
Ac1 Ac 0.080 0.000 0.293
Ac2 Ac 0.111 0.246 0.810
Ac3 Ac 0.143 0.500 0.506
Nd1 Nd 0.000 0.500 0.000
Dy1 Dy 0.238 0.000 0.920
```

## Properties
Formation energy in eV/atom: 0.3575

***

Crystalline Mg2OsAu at its relaxed geometry. Source: Alexandria via LeMat-Bulk, functional PBE.

Geometry as CIF:
```
data_Mg2OsAu
_cell_length_a 7.209
_cell_length_b 7.209
_cell_length_c 5.629
_cell_angle_alpha 90.00
_cell_angle_beta 90.00
_cell_angle_gamma 90.00
_space_group_name_H-M_alt 'I -4 2 d'
_space_group_IT_number 122
_space_group_name_Hall 'I -4 2bw'
loop_
_atom_site_label
_atom_site_type_symbol
_atom_site_fract_x
_atom_site_fract_y
_atom_site_fract_z
Mg1 Mg 0.245 0.250 0.125
Os1 Os 0.000 0.000 0.500
Au1 Au 0.000 0.000 0.000
```

## Properties
Formation energy in eV/atom: 0.4387

***

Crystalline Tb6Nd2Hg at its relaxed geometry. Source: Alexandria via LeMat-Bulk, functional PBE.

Geometry as CIF:
```
data_Tb6Nd2Hg
_cell_length_a 9.844
_cell_length_b 10.325
_cell_length_c 5.526
_cell_angle_alpha 90.00
_cell_angle_beta 90.00
_cell_angle_gamma 90.00
_space_group_name_H-M_alt 'P n n m'
_space_group_IT_number 58
loop_
_space_group_symop_operation_xyz
'x,y,z'
'-x,-y,-z'
'-x,-y,z'
'x,y,-z'
'x+1/2,-y+1/2,-z+1/2'
'-x+1/2,y+1/2,z+1/2'
'-x+1/2,y+1/2,-z+1/2'
'x+1/2,-y+1/2,z+1/2'
loop_
_atom_site_label
_atom_site_type_symbol
_atom_site_fract_x
_atom_site_fract_y
_atom_site_fract_z
Tb1 Tb 0.019 0.184 0.000
Tb2 Tb 0.137 0.604 0.500
Tb3 Tb 0.183 0.927 0.500
Nd1 Nd 0.191 0.252 0.500
Hg1 Hg 0.000 0.500 0.000
```

## Properties
Formation energy in eV/atom: -0.0227

***

Crystalline ScZnCoRh at its relaxed geometry. Source: Alexandria via LeMat-Bulk, functional PBE.

Geometry as CIF:
```
data_ScZnCoRh
_cell_length_a 6.126
_cell_length_b 6.126
_cell_length_c 6.126
_cell_angle_alpha 90.00
_cell_angle_beta 90.00
_cell_angle_gamma 90.00
_space_group_name_H-M_alt 'F -4 3 m'
_space_group_IT_number 216
_space_group_name_Hall 'F -4 2 3'
loop_
_atom_site_label
_atom_site_type_symbol
_atom_site_fract_x
_atom_site_fract_y
_atom_site_fract_z
Sc1 Sc 0.000 0.000 0.000
Zn1 Zn 0.000 0.000 0.500
Co1 Co 0.250 0.250 0.750
Rh1 Rh 0.250 0.250 0.250
```

## Properties
Formation energy in eV/atom: -0.4564

***

Crystalline KTlSb2 at its relaxed geometry. Source: Alexandria via LeMat-Bulk, functional PBE.

Geometry as CIF:
```
data_KTlSb2
_cell_length_a 6.229
_cell_length_b 3.378
_cell_length_c 6.378
_cell_angle_alpha 90.00
_cell_angle_beta 113.22
_cell_angle_gamma 90.00
_space_group_name_H-M_alt 'P 1 2/m 1'
_space_group_IT_number 10
loop_
_space_group_symop_operation_xyz
'x,y,z'
'-x,-y,-z'
'-x,y,-z'
'x,-y,z'
loop_
_atom_site_label
_atom_site_type_symbol
_atom_site_fract_x
_atom_site_fract_y
_atom_site_fract_z
K1 K 0.000 0.000 0.000
Tl1 Tl 0.500 0.500 0.000
Sb1 Sb 0.000 0.500 0.500
Sb2 Sb 0.500 0.000 0.500
```

## Properties
Excess energy over the best structure of this formula in the dataset in kJ/mol of atoms: 16.06
E_form (uncorrected) in meV/atom: -42

***

Crystalline Co2Si2Ge at its relaxed geometry. Source: Alexandria via LeMat-Bulk, functional PBE.

Geometry as CIF:
```
data_Co2Si2Ge
_cell_length_a 7.046
_cell_length_b 7.046
_cell_length_c 2.560
_cell_angle_alpha 90.00
_cell_angle_beta 90.00
_cell_angle_gamma 90.00
_space_group_name_H-M_alt 'P 4/m b m'
_space_group_IT_number 127
_space_group_name_Hall '-P 4 2ab'
loop_
_atom_site_label
_atom_site_type_symbol
_atom_site_fract_x
_atom_site_fract_y
_atom_site_fract_z
Co1 Co 0.144 0.356 0.000
Si1 Si 0.145 0.645 0.500
Ge1 Ge 0.000 0.000 0.500
```

## Properties
Excess energy over the best structure of this formula in the dataset in kJ/mol of atoms: 8.28
E_form (uncorrected) in meV/atom: -127

***

Crystalline BaCa2Sc2 at its relaxed geometry. Source: Alexandria via LeMat-Bulk, functional PBE.

Geometry as CIF:
```
data_BaCa2Sc2
_cell_length_a 9.927
_cell_length_b 9.927
_cell_length_c 3.795
_cell_angle_alpha 90.00
_cell_angle_beta 90.00
_cell_angle_gamma 90.00
_space_group_name_H-M_alt 'P 4/m b m'
_space_group_IT_number 127
_space_group_name_Hall '-P 4 2ab'
loop_
_atom_site_label
_atom_site_type_symbol
_atom_site_fract_x
_atom_site_fract_y
_atom_site_fract_z
Ba1 Ba 0.000 0.000 0.000
Ca1 Ca 0.176 0.324 0.500
Sc1 Sc 0.110 0.610 0.000
```

## Properties
Excess energy over the best structure of this formula in the dataset in kJ/mol of atoms: 0.00
Formation energy in eV/atom: 0.2707

***

Crystalline NbCoC at its relaxed geometry. Source: Alexandria via LeMat-Bulk, functional PBE.

Geometry as CIF:
```
data_NbCoC
_cell_length_a 6.222
_cell_length_b 7.501
_cell_length_c 3.009
_cell_angle_alpha 90.00
_cell_angle_beta 90.00
_cell_angle_gamma 90.00
_space_group_name_H-M_alt 'C m m m'
_space_group_IT_number 65
_space_group_name_Hall '-C 2 2'
loop_
_atom_site_label
_atom_site_type_symbol
_atom_site_fract_x
_atom_site_fract_y
_atom_site_fract_z
Nb1 Nb 0.000 0.207 0.000
Co1 Co 0.190 0.500 0.500
C1 C 0.000 0.000 0.500
C2 C 0.000 0.500 0.000
```

## Properties
Formation energy in eV/atom: -0.1874

***

Crystalline CrHg4Br at its relaxed geometry. Source: Alexandria via LeMat-Bulk, functional PBE.

Geometry as CIF:
```
data_CrHg4Br
_cell_length_a 8.678
_cell_length_b 8.678
_cell_length_c 8.678
_cell_angle_alpha 90.00
_cell_angle_beta 90.00
_cell_angle_gamma 90.00
_space_group_name_H-M_alt 'F -4 3 m'
_space_group_IT_number 216
_space_group_name_Hall 'F -4 2 3'
loop_
_atom_site_label
_atom_site_type_symbol
_atom_site_fract_x
_atom_site_fract_y
_atom_site_fract_z
Cr1 Cr 0.000 0.000 0.000
Hg1 Hg 0.125 0.125 0.625
Br1 Br 0.250 0.250 0.250
```

## Properties
E_form (uncorrected) in meV/atom: 328